1.
Density functional theory data (PBE) for a relaxed KCd6P7O24 crystal.

a b c (Å): 5.490 27.018 6.788
angles (deg): 90.00 107.00 90.00
Positions (direct):
K1 0.207 0.250 0.136
K2 0.793 0.750 0.864
Cd1 0.281 0.100 0.419
Cd2 0.281 0.400 0.419
Cd3 0.316 0.543 0.813
Cd4 0.316 0.957 0.813
Cd5 0.392 0.683 0.206
Cd6 0.392 0.817 0.206
Cd7 0.608 0.183 0.794
Cd8 0.608 0.317 0.794
Cd9 0.684 0.043 0.187
Cd10 0.684 0.457 0.187
Cd11 0.719 0.600 0.581
Cd12 0.719 0.900 0.581
P1 0.033 0.250 0.605
P2 0.174 0.109 0.896
P3 0.174 0.391 0.896
P4 0.213 0.525 0.292
P5 0.213 0.975 0.292
P6 0.259 0.671 0.680
P7 0.259 0.829 0.680
P8 0.741 0.171 0.320
P9 0.741 0.329 0.320
P10 0.787 0.025 0.708
P11 0.787 0.475 0.708
P12 0.826 0.609 0.104
P13 0.826 0.891 0.104
P14 0.967 0.750 0.395
O1 0.010 0.704 0.544
O2 0.010 0.796 0.544
O3 0.011 0.649 0.094
O4 0.011 0.851 0.094
O5 0.036 0.057 0.815
O6 0.036 0.443 0.815
O7 0.094 0.024 0.330
O8 0.094 0.476 0.330
O9 0.129 0.622 0.697
O10 0.129 0.878 0.697
O11 0.150 0.750 0.266
O12 0.312 0.250 0.725
O13 0.329 0.121 0.745
O14 0.329 0.379 0.745
O15 0.354 0.097 0.108
O16 0.354 0.403 0.108
O17 0.363 0.551 0.490
O18 0.363 0.949 0.490
O19 0.368 0.699 0.879
O20 0.368 0.801 0.879
O21 0.371 0.521 0.141
O22 0.371 0.979 0.141
O23 0.448 0.670 0.552
O24 0.448 0.830 0.552
O25 0.552 0.170 0.448
O26 0.552 0.330 0.448
O27 0.629 0.021 0.859
O28 0.629 0.479 0.859
O29 0.632 0.199 0.121
O30 0.632 0.301 0.121
O31 0.637 0.051 0.510
O32 0.637 0.449 0.510
O33 0.646 0.597 0.892
O34 0.646 0.903 0.892
O35 0.671 0.621 0.255
O36 0.671 0.879 0.255
O37 0.688 0.750 0.275
O38 0.850 0.250 0.734
O39 0.871 0.122 0.303
O40 0.871 0.378 0.303
O41 0.906 0.524 0.670
O42 0.906 0.976 0.670
O43 0.964 0.557 0.185
O44 0.964 0.943 0.185
O45 0.989 0.149 0.906
O46 0.989 0.351 0.906
O47 0.990 0.204 0.456
O48 0.990 0.296 0.456

## Properties
ρ	4.533	g/cm3
E_tot	-0.459	Ry/atom



2.
Density functional theory data (PBE) for a relaxed Zr2ScSi4Ni4 crystal.

a b c (Å): 7.401 7.401 7.401
angles (deg): 149.68 128.70 60.76
Positions (direct):
Zr1 0.126 0.126 0.000
Zr2 0.874 0.874 0.000
Sc1 0.500 0.000 0.500
Si1 0.193 0.500 0.693
Si2 0.286 0.786 0.500
Si3 0.714 0.214 0.500
Si4 0.807 0.500 0.307
Ni1 0.125 0.324 0.801
Ni2 0.477 0.676 0.801
Ni3 0.523 0.324 0.199
Ni4 0.875 0.676 0.199

## Properties
ρ	6.025	g/cm3
E_tot	-0.514	Ry/atom



3.
Density functional theory data (PBE) for a relaxed UPd5Pt2 crystal.

a b c (Å): 5.730 11.266 4.063
angles (deg): 90.00 90.00 90.00
Positions (direct):
U1 0.000 0.000 0.000
U2 0.500 0.500 0.000
Pd1 0.000 0.500 0.000
Pd2 0.006 0.243 0.000
Pd3 0.241 0.626 0.500
Pd4 0.259 0.126 0.500
Pd5 0.494 0.743 0.000
Pd6 0.500 0.000 0.000
Pd7 0.506 0.257 0.000
Pd8 0.741 0.874 0.500
Pd9 0.759 0.374 0.500
Pd10 0.994 0.757 0.000
Pt1 0.246 0.879 0.500
Pt2 0.254 0.379 0.500
Pt3 0.746 0.621 0.500
Pt4 0.754 0.121 0.500

## Properties
ρ	14.689	g/cm3
calculated formation energy	-10.290	kcal/mol of atoms



4.
Density functional theory data (PBE) for a relaxed ErZrSi2 crystal.

a b c (Å): 5.488 3.786 7.414
angles (deg): 90.00 91.42 90.00
Positions (direct):
Er1 0.125 0.250 0.180
Er2 0.875 0.750 0.820
Zr1 0.384 0.250 0.677
Zr2 0.616 0.750 0.323
Si1 0.140 0.750 0.465
Si2 0.367 0.750 0.956
Si3 0.633 0.250 0.044
Si4 0.860 0.250 0.535

## Properties
excess energy over the best structure of this formula in the dataset	0.010	eV per atom
ρ	6.787	g/cm3



5.
Density functional theory data (PBE) for a relaxed SnBiW4N2 crystal.

a b c (Å): 3.362 3.362 12.969
angles (deg): 90.00 90.00 120.00
Positions (direct):
Sn1 0.000 0.000 0.000
Bi1 0.333 0.667 0.500
W1 0.000 0.000 0.314
W2 0.000 0.000 0.686
W3 0.333 0.667 0.169
W4 0.333 0.667 0.831
N1 0.667 0.333 0.243
N2 0.667 0.333 0.757

## Properties
ρ	14.269	g/cm3
E_tot	-0.666	Ry/atom



6.
Density functional theory data (PBE) for a relaxed TbPmTeO2 crystal.

a b c (Å): 6.920 6.920 6.920
angles (deg): 146.59 146.59 47.97
Positions (direct):
Tb1 0.000 0.000 0.000
Pm1 0.321 0.321 0.000
Te1 0.661 0.661 0.000
O1 0.415 0.915 0.500
O2 0.915 0.415 0.500

## Properties
ρ	7.694	g/cm3
E_tot	-0.545	Ry/atom